SiTc3Rh: optimized geometry, PBE.

Calculated values
crystal system	cubic
energy above the most stable polymorph in this dataset	0.0	kJ per mole of atoms
total moment	0.000	Bohr magnetons per cell
formation energy without anion corrections	0.950	eV/atom
Fermi-level density of states	6.98	states/eV/cell

Lattice parameters (Å, degrees): 4.3468 4.3468 4.3468 90.00 90.00 90.00
Atoms (fractional coordinates):
Si 0.0000 0.0000 0.0000
Tc 0.0000 0.0000 0.5000
Tc 0.0000 0.5000 0.0000
Tc 0.5000 0.0000 0.0000
Rh 0.5000 0.5000 0.5000